No. 1
# PmYNi10

PmYNi10 after structural relaxation (PBE, the Alexandria database).

Results
Energy relative to the elements: -0.304 eV/atom
Magnetization: 0.237 μB per atom

Lattice parameters (Å, degrees): 3.9584 4.9207 8.5124 90.00 90.00 90.00
Each line ends with the local moment (μB).
Fractional coordinates of all 12 atoms:
1 Ni 0.0000 0.5000 0.1688  0.27
2 Ni 0.5000 0.2512 0.2523  0.36
3 Ni 0.0000 0.5000 0.8312  0.27
4 Ni 0.0000 0.0000 0.6646  0.27
5 Ni 0.5000 0.5000 0.0000  0.35
6 Ni 0.5000 0.7488 0.7477  0.36
7 Ni 0.5000 0.7488 0.2523  0.36
8 Ni 0.5000 0.0000 0.5000  0.36
9 Ni 0.0000 0.0000 0.3354  0.27
10 Ni 0.5000 0.2512 0.7477  0.36
11 Y 0.0000 0.5000 0.5000  -0.06
12 Pm 0.0000 0.0000 0.0000  -0.06



No. 2
# B5C7

B5C7 after structural relaxation (PBE, the Alexandria database).

Results
Energy relative to the elements: 0.353 eV/atom
Energy above the most stable polymorph in this dataset: 0.0949 eV/atom
Magnetization: 0.000 μB per atom

Lattice parameters (Å, degrees): 2.6150 4.7016 6.4677 94.76 90.00 90.00
Fractional coordinates of all 12 atoms:
1 C 0.5000 0.8489 0.5710
2 C 0.5000 0.8423 0.3337
3 C 0.5000 0.5249 0.2539
4 C 0.5000 0.1578 0.9088
5 C 0.0000 0.9988 0.2610
6 C 0.0000 0.6376 0.8988
7 C 0.5000 0.1434 0.6777
8 B 0.5000 0.4910 0.0017
9 B 0.0000 0.3168 0.6248
10 B 0.0000 0.6920 0.6630
11 B 0.0000 0.3475 0.3015
12 B 0.0000 0.9990 0.0040



No. 3
# Sc3ZnC

Sc3ZnC after structural relaxation (PBE, the Alexandria database).

Results
Energy relative to the elements: -0.281 eV/atom
Energy above the most stable polymorph in this dataset: 0.1563 eV/atom
Magnetization: 0.000 μB per atom

Lattice parameters (Å, degrees): 20.7797 5.6550 8.2018 90.00 158.34 90.00
Fractional coordinates of all 20 atoms:
1 Sc 0.2504 0.5007 0.7505
2 Sc 0.7504 0.9993 0.2505
3 Sc 0.7496 0.4993 0.2495
4 Sc 0.6409 0.7500 0.6410
5 Sc 0.8591 0.2500 0.8590
6 Sc 0.2496 0.0007 0.7495
7 Sc 0.1409 0.7500 0.1410
8 Sc 0.0501 0.7493 0.5502
9 Sc 0.5501 0.7507 0.0502
10 Sc 0.4499 0.2493 0.9498
11 Sc 0.9499 0.2507 0.4498
12 Sc 0.3591 0.2500 0.3590
13 Zn 0.5800 0.2500 0.5800
14 Zn 0.4200 0.7500 0.4200
15 Zn 0.9200 0.7500 0.9200
16 Zn 0.0800 0.2500 0.0800
17 C 0.1123 0.2515 0.6124
18 C 0.8877 0.7485 0.3876
19 C 0.6123 0.2485 0.1124
20 C 0.3877 0.7515 0.8876



No. 4
# Tb3Nd3Sm

Tb3Nd3Sm after structural relaxation (PBE, the Alexandria database).

Results
Energy relative to the elements: 0.024 eV/atom
Energy above the most stable polymorph in this dataset: 0.0000 eV/atom
Magnetization: 0.000 μB per atom

Lattice parameters (Å, degrees): 5.8162 9.7180 9.7167 120.00 90.00 90.00
Fractional coordinates of all 14 atoms:
1 Tb 0.2500 0.5216 0.6169
2 Tb 0.7500 0.6168 0.0952
3 Tb 0.2500 0.0954 0.4787
4 Tb 0.2500 0.3832 0.9048
5 Tb 0.7500 0.9046 0.5213
6 Tb 0.7500 0.4784 0.3831
7 Nd 0.7500 0.0500 0.2417
8 Nd 0.7500 0.7587 0.8084
9 Nd 0.7500 0.1917 0.9500
10 Nd 0.2500 0.8083 0.0500
11 Nd 0.2500 0.2413 0.1916
12 Nd 0.2500 0.9500 0.7583
13 Sm 0.2500 0.6665 0.3332
14 Sm 0.7500 0.3335 0.6668



No. 5
# Cs4FeSe4

Cs4FeSe4 after structural relaxation (PBE, the Alexandria database).

Results
Uncorrected formation energy: -897 meV per atom
Magnetization: 0.443 μB per atom

Lattice parameters (Å, degrees): 7.3774 10.0966 10.0966 90.00 90.00 90.00
Each line ends with the local moment (μB).
Fractional coordinates of all 18 atoms:
1 Cs 0.8403 0.5003 0.7743  0.01
2 Cs 0.3403 0.2743 0.9997  0.01
3 Cs 0.8403 0.4997 0.2257  0.01
4 Cs 0.1597 0.2257 0.5003  0.01
5 Cs 0.6597 0.0003 0.2743  0.01
6 Cs 0.3403 0.7257 0.0003  0.01
7 Cs 0.6597 0.9997 0.7257  0.01
8 Cs 0.1597 0.7743 0.4997  0.01
9 Se 0.3387 0.5003 0.7011  0.08
10 Se 0.3387 0.4997 0.2989  0.08
11 Se 0.1613 0.0003 0.2011  0.08
12 Se 0.8387 0.2011 0.9997  0.08
13 Se 0.6613 0.7011 0.4997  0.08
14 Se 0.6613 0.2989 0.5003  0.08
15 Se 0.8387 0.7989 0.0003  0.08
16 Se 0.1613 0.9997 0.7989  0.08
17 Fe 0.0000 0.0000 0.0000  2.98
18 Fe 0.5000 0.5000 0.5000  2.98



No. 6
# CrInTc3

CrInTc3 after structural relaxation (PBE, the Alexandria database).

Results
Energy relative to the elements: 1.036 eV/atom
Magnetization: 0.216 μB per atom

Lattice parameters (Å, degrees): 4.4720 4.4720 4.4720 90.00 90.00 90.00
Each line ends with the local moment (μB).
Fractional coordinates of all 5 atoms:
1 Tc 0.0000 0.5000 0.0000  0.45
2 Tc 0.0000 0.0000 0.5000  0.32
3 Tc 0.5000 0.0000 0.0000  0.47
4 Cr 0.0000 0.0000 0.0000  -0.21
5 In 0.5000 0.5000 0.5000  -0.04